Computed, not measured: a geometry-optimized KNdWO5 structure at the PBE+U level of DFT.

## Properties
The energy comes out at -7.110 eV/atom. Its density is 4.68 Mg/m³.

The structure in POSCAR format:
```
KNdWO5
1.0
3.963 -5.214 0.000
3.963 5.214 0.000
-3.396 0.000 7.681
K Nd W O
2 2 2 10
Direct
0.182 0.818 0.750
0.818 0.182 0.250
0.500 0.500 0.000
0.500 0.500 0.500
0.180 0.820 0.250
0.820 0.180 0.750
0.100 0.253 0.901
0.188 0.625 0.371
0.253 0.100 0.401
0.375 0.812 0.129
0.424 0.576 0.750
0.576 0.424 0.250
0.625 0.188 0.871
0.747 0.900 0.599
0.812 0.375 0.629
0.900 0.747 0.099
```